# Rb3Ag2Cl6 (PBE, relaxed)
# Formation energy from raw total energies, eV per formula unit: -14.1
# ρ, g/cm³: 3.28
# M_tot, μB per cell: 0.00
data_Rb3Ag2Cl6
_symmetry_space_group_name_H-M 'P 1'
_symmetry_Int_Tables_number 1
_cell_length_a 5.045
_cell_length_b 5.045
_cell_length_c 14.073
_cell_angle_alpha 100.33
_cell_angle_beta 100.33
_cell_angle_gamma 90.00
loop_
_symmetry_equiv_pos_as_xyz
'x,y,z'
loop_
_atom_site_label
_atom_site_type_symbol
_atom_site_fract_x
_atom_site_fract_y
_atom_site_fract_z
Cl1 Cl 0.918 0.418 0.835
Cl2 Cl 0.303 0.303 0.606
Rb1 Rb 0.817 0.817 0.634
Ag1 Ag 0.402 0.402 0.803
Cl3 Cl 0.082 0.582 0.165
Cl4 Cl 0.697 0.697 0.394
Rb2 Rb 0.000 0.000 0.000
Cl5 Cl 0.418 0.918 0.835
Rb3 Rb 0.183 0.183 0.366
Ag2 Ag 0.598 0.598 0.197
Cl6 Cl 0.582 0.082 0.165

***

# Ta10Nb4W (PBE, relaxed)
# Energy of formation from the pure elements, kcal/mol of atoms: 19.26
# ρ, g/cm³: 12.34
# M_tot, μB per cell: 0.00
data_Ta10Nb4W
_symmetry_space_group_name_H-M 'P 1'
_symmetry_Int_Tables_number 1
_cell_length_a 6.365
_cell_length_b 7.755
_cell_length_c 7.755
_cell_angle_alpha 80.31
_cell_angle_beta 65.77
_cell_angle_gamma 65.77
loop_
_symmetry_equiv_pos_as_xyz
'x,y,z'
loop_
_atom_site_label
_atom_site_type_symbol
_atom_site_fract_x
_atom_site_fract_y
_atom_site_fract_z
Ta1 Ta 0.555 0.099 0.297
Nb1 Nb 0.799 0.600 0.801
Ta2 Ta 0.250 0.500 0.500
Nb2 Nb 0.600 0.199 0.600
Ta3 Ta 0.851 0.703 0.099
Nb3 Nb 0.201 0.400 0.199
Ta4 Ta 0.346 0.703 0.099
Ta5 Ta 0.149 0.297 0.901
Ta6 Ta 0.654 0.297 0.901
Ta7 Ta 0.750 0.500 0.500
Nb4 Nb 0.400 0.801 0.400
W1 W 0.000 0.000 0.000
Ta8 Ta 0.049 0.099 0.297
Ta9 Ta 0.951 0.901 0.703
Ta10 Ta 0.445 0.901 0.703

***

# PaReI (PBE, relaxed)
# Formation energy from raw total energies, eV per formula unit: -0.3
# ρ, g/cm³: 9.99
# M_tot, μB per cell: 0.00
data_PaReI
_symmetry_space_group_name_H-M 'P 1'
_symmetry_Int_Tables_number 1
_cell_length_a 3.827
_cell_length_b 4.004
_cell_length_c 11.962
_cell_angle_alpha 90.00
_cell_angle_beta 99.21
_cell_angle_gamma 90.00
loop_
_symmetry_equiv_pos_as_xyz
'x,y,z'
loop_
_atom_site_label
_atom_site_type_symbol
_atom_site_fract_x
_atom_site_fract_y
_atom_site_fract_z
I1 I 0.824 0.750 0.648
Re1 Re 0.467 0.750 0.933
Re2 Re 0.533 0.250 0.067
Pa1 Pa 0.927 0.250 0.854
Pa2 Pa 0.073 0.750 0.146
I2 I 0.176 0.250 0.352

***

# SiB2Mo6 (PBE, relaxed)
# Formation energy from raw total energies, eV per formula unit: -2.2
# ρ, g/cm³: 8.75
# M_tot, μB per cell: 0.00
data_SiB2Mo6
_symmetry_space_group_name_H-M 'P 1'
_symmetry_Int_Tables_number 1
_cell_length_a 6.781
_cell_length_b 6.781
_cell_length_c 6.781
_cell_angle_alpha 102.74
_cell_angle_beta 111.44
_cell_angle_gamma 114.45
loop_
_symmetry_equiv_pos_as_xyz
'x,y,z'
loop_
_atom_site_label
_atom_site_type_symbol
_atom_site_fract_x
_atom_site_fract_y
_atom_site_fract_z
B1 B 0.631 0.000 0.631
B2 B 0.500 0.612 0.112
Mo1 Mo 0.301 0.979 0.678
Si1 Si 0.000 0.500 0.500
Mo2 Mo 0.098 0.290 0.808
Mo3 Mo 0.902 0.710 0.192
Mo4 Mo 0.699 0.377 0.678
Mo5 Mo 0.517 0.710 0.808
Mo6 Mo 0.699 0.021 0.322
Mo7 Mo 0.301 0.623 0.322
Mo8 Mo 0.208 0.244 0.452
Mo9 Mo 0.792 0.756 0.548
Si2 Si 0.000 0.000 0.000
Mo10 Mo 0.208 0.756 0.964
Mo11 Mo 0.792 0.244 0.036
B3 B 0.500 0.388 0.888
Mo12 Mo 0.483 0.290 0.192
B4 B 0.369 0.000 0.369

***

- The highest ρ belongs to which entry?
  Ta10Nb4W

***

Repeat the fourth record exactly.
# SiB2Mo6 (PBE, relaxed)
# Formation energy from raw total energies, eV per formula unit: -2.2
# ρ, g/cm³: 8.75
# M_tot, μB per cell: 0.00
data_SiB2Mo6
_symmetry_space_group_name_H-M 'P 1'
_symmetry_Int_Tables_number 1
_cell_length_a 6.781
_cell_length_b 6.781
_cell_length_c 6.781
_cell_angle_alpha 102.74
_cell_angle_beta 111.44
_cell_angle_gamma 114.45
loop_
_symmetry_equiv_pos_as_xyz
'x,y,z'
loop_
_atom_site_label
_atom_site_type_symbol
_atom_site_fract_x
_atom_site_fract_y
_atom_site_fract_z
B1 B 0.631 0.000 0.631
B2 B 0.500 0.612 0.112
Mo1 Mo 0.301 0.979 0.678
Si1 Si 0.000 0.500 0.500
Mo2 Mo 0.098 0.290 0.808
Mo3 Mo 0.902 0.710 0.192
Mo4 Mo 0.699 0.377 0.678
Mo5 Mo 0.517 0.710 0.808
Mo6 Mo 0.699 0.021 0.322
Mo7 Mo 0.301 0.623 0.322
Mo8 Mo 0.208 0.244 0.452
Mo9 Mo 0.792 0.756 0.548
Si2 Si 0.000 0.000 0.000
Mo10 Mo 0.208 0.756 0.964
Mo11 Mo 0.792 0.244 0.036
B3 B 0.500 0.388 0.888
Mo12 Mo 0.483 0.290 0.192
B4 B 0.369 0.000 0.369